# 1
YNi2H2 | PBEsol | optimized geometry

The structure belongs to space group I4/mmm (No. 139); the cell edges are 3.452, 3.452 and 8.339 Å and the angles 90.00°, 90.00° and 90.00°. The asymmetric unit holds Y at (0.000, 0.000, 0.000), Ni at (0.000, 0.000, 0.325) and H at (0.000, 0.500, 0.250).

The calculation puts the total DFT energy (no corrections) at -5.483 eV/atom.



# 2
La2Ta | PBEsol | optimized geometry

The structure belongs to space group Cmcm (No. 63); the cell edges are 3.731, 17.969 and 5.000 Å and the angles 90.00°, 90.00° and 90.00°. The asymmetric unit holds La at (0.000, 0.090, 0.250), La at (0.000, 0.197, 0.750) and Ta at (0.000, 0.459, 0.250).

The energy of formation from the pure elements is 0.423 eV/atom. Its excess energy over the best structure of this formula in the dataset is 40.2 meV per atom. The calculation puts the total DFT energy (no corrections) at -7.325 eV/atom.